Record 1
VASP calculation (PBE) on a relaxed PmEr2O crystal.

```
PmEr2O
1.0
3.186 0.000 0.000
0.000 3.186 0.000
0.000 0.000 8.711
Pm Er O
1 2 1
Cartesian
0.000 0.000 0.000
1.593 1.593 2.819
1.593 1.593 5.892
0.000 0.000 4.356
```

- Magnetization: 0.00 μB/cell
- Calculated volume: 22.1 Å³ per atom
- ΔE to the lowest computed polymorph: 414.0 meV per atom
- N(E_F): 4.56 states/eV/cell
- E_form (uncorrected): -0.7971 eV/atom
- Theoretical density: 9.31 Mg/m³
- Space group: P4/mmm

***

Record 2
VASP calculation (PBE) on a relaxed PmEr3O crystal.

```
PmEr3O
1.0
4.924 0.000 0.000
0.000 4.924 0.000
0.000 0.000 4.924
Pm Er O
1 3 1
Cartesian
0.000 0.000 0.000
0.000 2.462 2.462
2.462 0.000 2.462
2.462 2.462 0.000
2.462 2.462 2.462
```

- Magnetization: 0.00 μB/cell
- Calculated volume: 23.9 Å³ per atom
- N(E_F): 6.96 states/eV/cell
- E_form (uncorrected): -1.0703 eV/atom
- Theoretical density: 9.22 Mg/m³
- Space group: Pm-3m

***

Record 3
VASP calculation (PBE) on a relaxed Pm6ErO12 crystal.

```
Pm6ErO12
1.0
5.174 2.987 3.217
-5.174 2.987 3.217
0.000 -5.975 3.217
Pm Er O
6 1 12
Cartesian
-2.736 -2.516 4.952
-3.547 1.111 4.698
0.811 -3.627 4.698
-0.811 3.627 4.952
3.547 -1.111 4.952
2.736 2.516 4.698
0.000 0.000 4.825
-1.361 -4.350 4.179
-4.448 -0.996 5.472
-1.965 -0.391 3.805
-3.087 3.354 4.179
1.321 -1.506 3.805
-0.644 -1.897 5.846
0.644 1.897 3.805
-1.321 1.506 5.846
3.087 -3.354 5.472
1.965 0.391 5.846
4.448 0.996 4.179
1.361 4.350 5.472
```

- Magnetization: 3.11 μB/cell
- Calculated volume: 15.7 Å³ per atom
- N(E_F): 10.89 states/eV/cell
- E_form (uncorrected): -3.0831 eV/atom
- Theoretical density: 6.84 Mg/m³
- Space group: R-3

***

Record 4
VASP calculation (PBE) on a relaxed PmErPtO6 crystal.

```
PmErPtO6
1.0
5.517 0.000 0.000
-2.759 4.778 0.000
0.000 0.000 9.864
Pm Er Pt O
2 2 2 12
Cartesian
0.000 0.000 0.000
0.000 0.000 4.932
0.000 3.185 2.466
2.759 1.593 7.398
0.000 3.185 7.398
2.759 1.593 2.466
-0.830 1.769 6.280
-1.642 3.175 8.516
0.830 1.769 8.516
-0.812 4.612 6.280
1.947 0.166 1.348
1.117 1.603 3.584
1.642 3.175 6.280
0.812 4.612 8.516
3.570 0.166 3.584
1.929 3.009 1.348
4.400 1.603 1.348
3.589 3.009 3.584
```

- Magnetization: 3.27 μB/cell
- Calculated volume: 14.4 Å³ per atom
- N(E_F): 13.85 states/eV/cell
- E_form (uncorrected): -2.0155 eV/atom
- Theoretical density: 7.71 Mg/m³
- Space group: P-31c

***

Record 5
VASP calculation (PBE) on a relaxed Pm2ErPuO8 crystal.

```
Pm2ErPuO8
1.0
3.970 0.000 0.000
0.573 5.487 0.000
0.057 0.225 7.510
Pm Er Pu O
2 1 1 8
Cartesian
0.021 0.124 1.800
4.579 5.588 5.711
2.272 2.743 0.000
2.300 2.856 3.755
0.484 4.090 0.088
0.718 4.050 3.783
1.987 1.708 5.377
1.992 1.476 2.003
2.609 4.236 5.507
2.613 4.004 2.134
3.882 1.662 3.727
4.116 1.622 7.422
```

- Magnetization: 0.99 μB/cell
- Calculated volume: 13.6 Å³ per atom
- N(E_F): 1.43 states/eV/cell
- E_form (uncorrected): -3.0192 eV/atom
- Theoretical density: 8.42 Mg/m³
- Space group: P-1

***

Record 6
VASP calculation (PBE) on a relaxed PmErPuO6 crystal.

```
PmErPuO6
1.0
5.729 0.000 0.000
-2.865 4.962 0.000
0.000 0.000 9.719
Pm Er Pu O
2 2 2 12
Cartesian
0.000 0.000 0.000
0.000 0.000 4.859
0.000 3.308 2.430
2.865 1.654 7.289
0.000 3.308 7.289
2.865 1.654 2.430
-0.907 1.796 6.186
-1.763 3.278 8.392
0.907 1.796 8.392
-0.856 4.849 6.186
2.009 0.113 1.327
1.102 1.683 3.532
1.763 3.278 6.186
0.856 4.849 8.392
3.720 0.113 3.532
1.958 3.166 1.327
4.627 1.683 1.327
3.771 3.166 3.532
```

- Magnetization: 4.00 μB/cell
- Calculated volume: 15.3 Å³ per atom
- N(E_F): 15.27 states/eV/cell
- E_form (uncorrected): -3.0614 eV/atom
- Theoretical density: 7.84 Mg/m³
- Space group: P-31c

***

Record 7
VASP calculation (PBE) on a relaxed PmEr2PuO8 crystal.

```
PmEr2PuO8
1.0
3.590 -3.606 0.000
3.590 3.606 0.000
0.000 0.000 7.028
Pm Er Pu O
1 2 1 8
Cartesian
0.000 0.000 0.000
3.590 0.000 1.701
3.590 0.000 5.327
0.000 0.000 3.514
3.590 2.255 1.992
3.590 2.255 5.036
2.012 0.000 3.514
2.266 0.000 0.000
4.914 0.000 0.000
5.168 0.000 3.514
3.590 -2.255 1.992
3.590 -2.255 5.036
```

- Magnetization: 1.02 μB/cell
- Calculated volume: 15.2 Å³ per atom
- E_form (uncorrected): -3.0758 eV/atom
- Theoretical density: 7.77 Mg/m³
- Space group: Cmmm

***

Record 8
VASP calculation (PBE) on a relaxed Rb4Pm3ErO8 crystal.

```
Rb4Pm3ErO8
1.0
3.597 2.077 6.590
-3.597 2.077 6.590
0.000 -4.153 6.590
Rb Pm Er O
4 3 1 8
Cartesian
0.000 0.000 0.000
-1.798 -1.038 6.590
-1.798 1.038 13.180
0.000 2.077 6.590
-3.597 0.000 9.885
-1.798 1.038 3.295
1.798 1.038 3.295
0.000 0.000 9.885
0.000 0.000 4.480
-1.749 -1.010 11.054
0.000 -2.019 8.715
-1.749 1.010 8.715
1.749 -1.010 11.054
0.000 2.019 11.054
1.749 1.010 8.715
0.000 0.000 15.289
```

- Magnetization: 0.00 μB/cell
- Calculated volume: 18.5 Å³ per atom
- N(E_F): 0.00 states/eV/cell
- E_form (uncorrected): -2.6167 eV/atom
- Theoretical density: 6.03 Mg/m³
- Space group: R-3m

***

Record 9
VASP calculation (PBE) on a relaxed Rb2PmErO4 crystal.

```
Rb2PmErO4
1.0
6.159 0.000 0.000
0.000 3.556 0.000
-2.048 0.000 6.576
Rb Pm Er O
2 1 1 4
Cartesian
0.000 0.000 0.000
3.080 1.778 0.000
-1.024 1.778 3.288
2.056 0.000 3.288
0.063 0.000 4.455
1.081 1.778 2.133
3.030 1.778 4.443
4.048 0.000 2.121
```

- Magnetization: 0.00 μB/cell
- Calculated volume: 18.0 Å³ per atom
- N(E_F): 0.00 states/eV/cell
- E_form (uncorrected): -2.6482 eV/atom
- Theoretical density: 6.31 Mg/m³
- Space group: P2/m

***

Record 10
VASP calculation (PBE) on a relaxed PmErRuO6 crystal.

```
PmErRuO6
1.0
5.481 0.000 0.000
-2.741 4.747 0.000
0.000 0.000 9.837
Pm Er Ru O
2 2 2 12
Cartesian
0.000 0.000 0.000
0.000 0.000 4.919
0.000 3.165 2.459
2.741 1.582 7.378
0.000 3.165 7.378
2.741 1.582 2.459
-0.811 1.776 6.277
-1.608 3.157 8.478
0.811 1.776 8.478
-0.797 4.561 6.277
1.944 0.186 1.359
1.133 1.590 3.560
1.608 3.157 6.277
0.797 4.561 8.478
3.538 0.186 3.560
1.930 2.971 1.359
4.349 1.590 1.359
3.552 2.971 3.560
```

- Magnetization: 4.02 μB/cell
- Calculated volume: 14.2 Å³ per atom
- N(E_F): 9.08 states/eV/cell
- E_form (uncorrected): -2.2619 eV/atom
- Theoretical density: 6.61 Mg/m³
- Space group: P-31c

***

Record 11
VASP calculation (PBE) on a relaxed PmEr2RuO8 crystal.

```
PmEr2RuO8
1.0
5.030 0.000 0.000
0.000 6.801 0.000
-0.016 0.000 5.044
Pm Er Ru O
1 2 1 8
Cartesian
0.000 0.000 0.000
2.507 1.696 2.522
2.507 5.105 2.522
0.000 3.401 0.000
0.943 2.005 0.935
0.943 4.796 0.935
1.330 3.401 3.687
1.565 0.000 3.444
3.448 0.000 1.600
3.683 3.401 1.357
4.070 2.005 4.109
4.070 4.796 4.109
```

- Magnetization: 1.03 μB/cell
- Calculated volume: 14.4 Å³ per atom
- N(E_F): 3.58 states/eV/cell
- E_form (uncorrected): -2.3861 eV/atom
- Theoretical density: 6.82 Mg/m³
- Space group: P2/m

***

Record 12
VASP calculation (PBE) on a relaxed PmErS2O crystal.

```
PmErS2O
1.0
3.910 0.000 0.000
0.000 3.910 0.000
0.000 0.000 13.891
Pm Er S O
2 2 4 2
Cartesian
0.978 0.978 1.223
2.933 2.933 12.669
0.978 0.978 8.629
2.933 2.933 5.262
0.978 0.978 5.698
0.978 0.978 11.106
2.933 2.933 2.785
2.933 2.933 8.193
0.978 2.933 0.000
2.933 0.978 0.000
```

- Magnetization: 0.00 μB/cell
- Calculated volume: 21.2 Å³ per atom
- N(E_F): 1.45 states/eV/cell
- E_form (uncorrected): -2.5058 eV/atom
- Theoretical density: 6.14 Mg/m³
- Space group: P4/nmm

***

Record 13
VASP calculation (PBE) on a relaxed PmErSO2 crystal.

```
PmErSO2
1.0
6.427 0.000 0.000
0.000 4.035 0.000
-2.469 0.000 7.162
Pm Er S O
2 2 2 4
Cartesian
0.189 1.009 3.088
3.768 3.026 4.074
-1.130 1.009 6.627
5.087 3.026 0.535
1.106 3.026 5.327
2.851 1.009 1.835
-0.810 3.026 2.658
-2.057 3.026 6.369
6.014 1.009 0.793
4.768 1.009 4.504
```

- Magnetization: 0.00 μB/cell
- Calculated volume: 18.6 Å³ per atom
- N(E_F): 0.00 states/eV/cell
- E_form (uncorrected): -3.1018 eV/atom
- Theoretical density: 6.73 Mg/m³
- Space group: P2_1/m

***

Record 14
VASP calculation (PBE) on a relaxed Pm2ErScO6 crystal.

```
Pm2ErScO6
1.0
2.901 1.675 4.939
-2.901 1.675 4.939
0.000 -3.350 4.939
Pm Er Sc O
2 1 1 6
Cartesian
0.000 0.000 0.000
0.000 0.000 7.394
0.000 0.000 3.307
0.000 0.000 10.676
-1.055 -1.977 6.716
-1.644 0.162 9.228
-1.184 1.902 6.716
0.681 -1.505 9.228
2.239 0.075 6.716
0.962 1.342 9.228
```

- Magnetization: 0.00 μB/cell
- Calculated volume: 14.4 Å³ per atom
- N(E_F): 0.00 states/eV/cell
- E_form (uncorrected): -3.4623 eV/atom
- Theoretical density: 6.90 Mg/m³
- Space group: R3

***

Record 15
VASP calculation (PBE) on a relaxed PmErSe2O crystal.

```
PmErSe2O
1.0
4.017 0.000 0.000
0.000 4.017 0.000
0.000 0.000 14.511
Pm Er Se O
2 2 4 2
Cartesian
1.004 1.004 1.176
3.013 3.013 13.335
1.004 1.004 9.051
3.013 3.013 5.460
1.004 1.004 5.970
1.004 1.004 11.658
3.013 3.013 2.853
3.013 3.013 8.541
1.004 3.013 0.000
3.013 1.004 0.000
```

- Magnetization: 0.00 μB/cell
- Calculated volume: 23.4 Å³ per atom
- N(E_F): 1.97 states/eV/cell
- E_form (uncorrected): -2.3905 eV/atom
- Theoretical density: 6.89 Mg/m³
- Space group: P4/nmm

***

Record 16
VASP calculation (PBE) on a relaxed PmEr2SeO8 crystal.

```
PmEr2SeO8
1.0
3.471 -3.500 0.000
3.471 3.500 0.000
0.000 0.000 6.830
Pm Er Se O
1 2 1 8
Cartesian
0.000 0.000 0.000
3.471 0.000 1.768
3.471 0.000 5.061
0.000 0.000 3.415
1.252 0.000 2.085
1.252 0.000 4.745
3.471 1.665 3.415
3.471 1.266 0.000
3.471 -1.266 0.000
3.471 -1.665 3.415
5.690 0.000 2.085
5.690 0.000 4.745
```

- Magnetization: 0.70 μB/cell
- Calculated volume: 13.8 Å³ per atom
- N(E_F): 4.97 states/eV/cell
- E_form (uncorrected): -2.2895 eV/atom
- Theoretical density: 6.87 Mg/m³
- Space group: Cmmm

***

Record 17
VASP calculation (PBE) on a relaxed PmErSeO2 crystal.

```
PmErSeO2
1.0
6.575 0.000 0.000
0.000 4.059 0.000
-2.388 0.000 7.301
Pm Er Se O
2 2 2 4
Cartesian
0.218 1.015 3.124
3.969 3.044 4.177
-1.071 1.015 6.713
5.258 3.044 0.588
1.202 3.044 5.452
2.985 1.015 1.849
-2.011 3.044 6.476
-0.778 3.044 2.712
4.965 1.015 4.589
6.198 1.015 0.824
```

- Magnetization: 0.00 μB/cell
- Calculated volume: 19.5 Å³ per atom
- N(E_F): 0.00 states/eV/cell
- E_form (uncorrected): -3.0791 eV/atom
- Theoretical density: 7.21 Mg/m³
- Space group: P2_1/m

***

Record 18
VASP calculation (PBE) on a relaxed PmEr2TaO8 crystal.

```
PmEr2TaO8
1.0
5.047 0.000 0.000
0.000 6.967 0.000
-0.032 0.000 5.048
Pm Er Ta O
1 2 1 8
Cartesian
0.000 0.000 0.000
2.507 1.789 2.524
2.507 5.179 2.524
0.000 3.484 0.000
0.919 1.999 4.097
0.919 4.968 4.097
1.422 3.484 1.426
1.599 0.000 1.602
3.416 0.000 3.447
3.593 3.484 3.623
4.095 1.999 0.951
4.095 4.968 0.951
```

- Magnetization: 2.03 μB/cell
- Calculated volume: 14.8 Å³ per atom
- N(E_F): 8.14 states/eV/cell
- E_form (uncorrected): -2.9039 eV/atom
- Theoretical density: 7.38 Mg/m³
- Space group: P2/m

***

Record 19
VASP calculation (PBE) on a relaxed PmErTaO6 crystal.

```
PmErTaO6
1.0
5.091 0.000 0.000
0.000 5.091 0.000
0.000 0.000 10.202
Pm Er Ta O
2 2 2 12
Cartesian
0.000 0.000 0.000
2.546 2.546 5.101
0.000 0.000 3.440
2.546 2.546 8.541
0.000 0.000 6.800
2.546 2.546 1.699
0.918 0.918 5.280
0.971 0.971 8.270
1.121 1.121 1.802
1.425 3.666 6.903
1.575 3.516 3.169
1.627 3.464 0.179
3.464 1.627 0.179
3.516 1.575 3.169
3.666 1.425 6.903
3.971 3.971 1.802
4.121 4.121 8.270
4.173 4.173 5.280
```

- Magnetization: 2.04 μB/cell
- Calculated volume: 14.7 Å³ per atom
- N(E_F): 10.25 states/eV/cell
- E_form (uncorrected): -2.9921 eV/atom
- Theoretical density: 7.40 Mg/m³
- Space group: P4_2nm

***

Record 20
VASP calculation (PBE) on a relaxed PmEr2TcO8 crystal.

```
PmEr2TcO8
1.0
5.039 0.000 0.000
0.000 6.789 0.000
-0.012 0.000 5.045
Pm Er Tc O
1 2 1 8
Cartesian
0.000 0.000 0.000
2.513 1.690 2.523
2.513 5.100 2.523
0.000 3.395 0.000
0.934 2.014 0.931
0.934 4.775 0.931
1.338 3.395 3.690
1.573 0.000 3.452
3.454 0.000 1.593
3.688 3.395 1.355
4.092 2.014 4.115
4.092 4.775 4.115
```

- Magnetization: 0.00 μB/cell
- Calculated volume: 14.4 Å³ per atom
- E_form (uncorrected): -2.6264 eV/atom
- Theoretical density: 6.79 Mg/m³
- Space group: P2/m